VASP calculation (PBE) on a geometry-optimized Sm2Ga4PdAu3 structure.

* energy relative to the elements: -0.67 eV per atom
* mass density: 10.5 g cm⁻³
* electronic total energy: -4.332 eV per atom

Unit cell a=4.359 b=4.359 c=10.634 alpha=90.00 beta=90.00 gamma=90.00
Positions (direct):
Sm  0.000  0.500  0.249
Sm  0.500  0.000  0.751
Ga  0.000  0.000  0.500
Ga  0.000  0.500  0.873
Ga  0.500  0.000  0.127
Ga  0.500  0.500  0.500
Pd  0.500  0.500  0.000
Au  0.000  0.000  0.000
Au  0.000  0.500  0.637
Au  0.500  0.000  0.363

VASP calculation (PBE) on a geometry-optimized Sc6GeAs5 structure.

* energy relative to the elements: -1.24 eV per atom
* mass density: 4.8 g cm⁻³
* electronic total energy: -6.724 eV per atom

Unit cell a=6.730 b=6.730 c=6.729 alpha=99.61 beta=99.61 gamma=120.09
Positions (direct):
Sc  0.081  0.417  0.750
Sc  0.248  0.248  0.251
Sc  0.417  0.081  0.750
Sc  0.583  0.919  0.250
Sc  0.752  0.752  0.749
Sc  0.919  0.583  0.250
Ge  0.500  0.500  0.000
As  0.000  0.000  0.500
As  0.167  0.833  0.000
As  0.333  0.667  0.500
As  0.667  0.333  0.500
As  0.833  0.167  0.000

VASP calculation (PBE) on a geometry-optimized FeHg2As structure.

* energy relative to the elements: 0.18 eV per atom
* mass density: 11.0 g cm⁻³
* electronic total energy: -3.244 eV per atom

Unit cell a=2.956 b=2.956 c=9.227 alpha=90.00 beta=90.00 gamma=90.00
Positions (direct):
Fe  0.000  0.000  0.000
Hg  0.000  0.000  0.543
Hg  0.500  0.500  0.211
As  0.500  0.500  0.864

VASP calculation (PBE) on a geometry-optimized Pm2ThScSb4 structure.

* mass density: 7.1 g cm⁻³
* electronic total energy: -6.015 eV per atom
* uncorrected formation energy: -1048 meV/atom

Unit cell a=7.633 b=4.437 c=7.686 alpha=90.00 beta=109.51 gamma=90.00
Positions (direct):
Pm  0.000  0.000  0.000
Pm  0.500  0.500  0.000
Th  0.000  0.500  0.500
Sc  0.500  0.000  0.500
Sb  0.259  0.000  0.744
Sb  0.265  0.500  0.264
Sb  0.735  0.500  0.736
Sb  0.741  0.000  0.256

VASP calculation (PBE) on a geometry-optimized AcLa3TbY structure.

* energy relative to the elements: 0.04 eV per atom
* mass density: 6.7 g cm⁻³
* electronic total energy: -4.962 eV per atom

Unit cell a=8.238 b=5.314 c=10.624 alpha=90.00 beta=108.79 gamma=90.00
Positions (direct):
Ac  0.172  0.250  0.293
Ac  0.828  0.750  0.707
La  0.171  0.750  0.041
La  0.172  0.750  0.545
La  0.173  0.250  0.792
La  0.827  0.750  0.208
La  0.828  0.250  0.455
La  0.829  0.250  0.959
Tb  0.498  0.250  0.627
Tb  0.502  0.750  0.373
Y  0.498  0.750  0.877
Y  0.502  0.250  0.123

VASP calculation (PBE) on a geometry-optimized BeReO3 structure.

* mass density: 9.9 g cm⁻³
* electronic total energy: -6.807 eV per atom
* uncorrected formation energy: -597 meV/atom

Unit cell a=3.446 b=3.446 c=3.446 alpha=90.00 beta=90.00 gamma=90.00
Positions (direct):
Be  0.000  0.000  0.000
Re  0.500  0.500  0.500
O  0.000  0.000  0.500
O  0.000  0.500  0.000
O  0.500  0.000  0.000

Q: What is the mass density in the third record?
A: 11.0 g cm⁻³

Q: What is the mass density in the second record?
A: 4.8 g cm⁻³

Q: Which formula does entry 5 have?
A: AcLa3TbY

Q: What is the formula in the fifth record?
A: AcLa3TbY